--- A ---
## Be2Fe2Ag (PBE)

Data for crystalline Be2Fe2Ag at its relaxed geometry.

- Fermi-level density of states: 7.18 states/eV/cell

a = 6.2779 Å, b = 6.2779 Å, c = 2.8299 Å
α = 90.00°, β = 90.00°, γ = 90.00°
Closest atoms and distances in Å follow each position.
Space group P4/mbm (No. 127)
Inequivalent atoms, fractional coordinates:
Be1 0.1220 0.3780 0.0000 x4  1 Be 2.17, 6 Fe 2.31-2.36
Fe1 0.1654 0.6654 0.5000 x4  6 Be 2.31-2.36
Ag1 0.0000 0.0000 0.0000 x2  4 Be 2.49, 8 Fe 2.74


--- B ---
## Be2Fe2Ag (PBE)

Data for crystalline Be2Fe2Ag at its relaxed geometry.

- Fermi-level density of states: 6.51 states/eV/cell

a = 6.8034 Å, b = 6.8034 Å, c = 2.5189 Å
α = 90.00°, β = 90.00°, γ = 90.00°
Closest atoms and distances in Å follow each position.
Space group P4/mbm (No. 127)
Inequivalent atoms, fractional coordinates:
Be1 0.1747 0.3253 0.0000 x4  6 Fe 2.35-2.39, 2 Be 2.52
Fe1 0.1191 0.6191 0.5000 x4  3 Fe 2.29-2.52, 6 Be 2.35-2.39
Ag1 0.0000 0.0000 0.5000 x2  2 Ag 2.52, 4 Fe 2.72, 8 Be 2.81


Quick one: least stable of them? B